1.
Computed, not measured: an optimized crystal structure of ScGa3Br at the PBE level of DFT.

Geometry as POSCAR:
```
ScGa3Br
1.0
5.233 0.000 0.000
0.000 5.233 0.000
0.000 0.000 5.233
Sc Ga Br
1 3 1
direct
0.000 0.000 0.000
0.000 0.500 0.500
0.500 0.000 0.500
0.500 0.500 0.000
0.500 0.500 0.500
```

* SG: No. 221
* energy above the most stable polymorph in this dataset: 12.5 kJ per mole of atoms
* E_form (uncorrected): 0.5165 eV/atom

2.
Computed, not measured: an optimized crystal structure of RbCo at the PBE level of DFT.

Geometry as POSCAR:
```
RbCo
1.0
3.206 0.000 0.000
0.000 3.206 0.000
0.000 0.000 5.369
Rb Co
1 1
direct
0.000 0.000 0.000
0.500 0.500 0.500
```

* energy relative to the elements: 2.97 eV/f.u.
* SG: No. 123
* energy above the most stable polymorph in this dataset: 78.1 kJ per mole of atoms

3.
Computed, not measured: an optimized crystal structure of Y3Tc at the PBE level of DFT.

Geometry as POSCAR:
```
Y3Tc
1.0
7.482 0.000 0.000
0.000 9.195 0.000
0.000 0.000 6.283
Y Tc
12 4
direct
0.043 0.250 0.129
0.176 0.064 0.657
0.176 0.436 0.657
0.324 0.564 0.157
0.324 0.936 0.157
0.457 0.750 0.629
0.543 0.250 0.371
0.676 0.064 0.843
0.676 0.436 0.843
0.824 0.564 0.343
0.824 0.936 0.343
0.957 0.750 0.871
0.115 0.750 0.457
0.385 0.250 0.957
0.615 0.750 0.043
0.885 0.250 0.543
```

* energy relative to the elements: -0.35 eV/f.u.
* SG: No. 62

4.
Computed, not measured: an optimized crystal structure of CaZnSe2 at the PBE level of DFT.

Geometry as POSCAR:
```
CaZnSe2
1.0
-1.829 1.901 6.668
1.829 -1.901 6.668
1.829 1.901 -6.668
Ca Zn Se
1 1 2
direct
0.000 0.000 0.000
0.254 0.754 0.500
0.403 0.403 0.000
0.673 0.173 0.500
```

* SG: No. 44
* E_form (uncorrected): -0.9636 eV/atom

5.
Computed, not measured: an optimized crystal structure of Ge2Bi2Te at the PBE level of DFT.

Geometry as POSCAR:
```
Ge2Bi2Te
1.0
9.271 0.000 0.000
0.000 9.271 0.000
0.000 0.000 3.266
Ge Bi Te
4 4 2
direct
0.102 0.398 0.000
0.398 0.898 0.000
0.602 0.102 0.000
0.898 0.602 0.000
0.188 0.688 0.500
0.312 0.188 0.500
0.688 0.812 0.500
0.812 0.312 0.500
0.000 0.000 0.500
0.500 0.500 0.500
```

* SG: No. 127
* energy above the most stable polymorph in this dataset: 9.7 kJ per mole of atoms
* E_form (uncorrected): 0.2456 eV/atom

6.
Computed, not measured: an optimized crystal structure of Nd5Cd2Rh2 at the PBE level of DFT.

Geometry as POSCAR:
```
Nd5Cd2Rh2
1.0
8.220 -3.806 0.000
8.220 3.806 0.000
0.000 0.000 8.053
Nd Cd Rh
10 4 4
direct
0.000 0.000 0.000
0.052 0.709 0.677
0.209 0.552 0.177
0.291 0.948 0.677
0.448 0.791 0.177
0.500 0.500 0.500
0.552 0.209 0.823
0.709 0.052 0.323
0.791 0.448 0.823
0.948 0.291 0.323
0.217 0.217 0.000
0.283 0.283 0.500
0.717 0.717 0.500
0.783 0.783 0.000
0.130 0.870 0.371
0.370 0.630 0.871
0.630 0.370 0.129
0.870 0.130 0.629
```

* energy relative to the elements: -4.00 eV/f.u.
* SG: No. 64

no.,total magnetic moment (μB/atom),calculated volume (Å³ per atom)
1,0.00,28.666
2,0.87,27.596
3,0.00,27.013
4,0.00,23.192
5,0.00,28.070
6,0.00,27.993